# PBE-GGA La4HgI4, optimized geometry
data_La4HgI4
_space_group_name_H-M_alt 'R -3 m'
_space_group_IT_number 166
_space_group_name_Hall '-R 3 2"'
_cell_length_a 5.6532
_cell_length_b 5.6532
_cell_length_c 33.5727
_cell_angle_alpha 90.00
_cell_angle_beta 90.00
_cell_angle_gamma 120.00
loop_
_atom_site_label
_atom_site_type_symbol
_atom_site_fract_x
_atom_site_fract_y
_atom_site_fract_z
La1 La 0.0000 0.0000 0.0947
La2 La 0.0000 0.0000 0.3050
Hg1 Hg 0.0000 0.0000 0.0000
I1 I 0.0000 0.0000 0.2019
I2 I 0.0000 0.0000 0.4044
# * formation energy without anion corrections: -0.92 eV/atom


# PBE-GGA LiSiTcPd, optimized geometry
data_LiSiTcPd
_space_group_name_H-M_alt 'F -4 3 m'
_space_group_IT_number 216
_space_group_name_Hall 'F -4 2 3'
_cell_length_a 5.895
_cell_length_b 5.895
_cell_length_c 5.895
_cell_angle_alpha 90.00
_cell_angle_beta 90.00
_cell_angle_gamma 90.00
loop_
_atom_site_label
_atom_site_type_symbol
_atom_site_fract_x
_atom_site_fract_y
_atom_site_fract_z
Li1 Li 0.000 0.000 0.000
Si1 Si 0.000 0.000 0.500
Tc1 Tc 0.250 0.250 0.250
Pd1 Pd 0.250 0.250 0.750
# * formation energy without anion corrections: -0.40 eV/atom


# PBE-GGA La3ErSe4, optimized geometry
data_La3ErSe4
_space_group_name_H-M_alt 'C m m m'
_space_group_IT_number 65
_space_group_name_Hall '-C 2 2'
_cell_length_a 8.571
_cell_length_b 12.019
_cell_length_c 4.207
_cell_angle_alpha 90.00
_cell_angle_beta 90.00
_cell_angle_gamma 90.00
loop_
_atom_site_label
_atom_site_type_symbol
_atom_site_fract_x
_atom_site_fract_y
_atom_site_fract_z
La1 La 0.000 0.000 0.000
La2 La 0.250 0.250 0.500
Er1 Er 0.000 0.500 0.000
Se1 Se 0.000 0.258 0.000
Se2 Se 0.234 0.500 0.500
# * formation energy without anion corrections: -1.92 eV/atom
# * energy relative to the lowest polymorph listed for this composition: 0.003 eV/atom